(1)
{
  "formula": "Tb3ZnAs2Rh9",
  "functional": "GGA-PBE",
  "state": "relaxed",
  "cell": [[6.231, 0.000, 0.000], [-3.116, 5.396, 0.000], [0.000, 0.000, 9.081]],
  "species": ["Tb", "Tb", "Tb", "Zn", "As", "As", "Rh", "Rh", "Rh", "Rh", "Rh", "Rh", "Rh", "Rh", "Rh"],
  "frac_coords": [[0.000, 0.000, 0.000], [0.333, 0.667, 0.725], [0.667, 0.333, 0.275], [0.000, 0.000, 0.500], [0.333, 0.667, 0.175], [0.667, 0.333, 0.825], [0.000, 0.500, 0.000], [0.141, 0.281, 0.274], [0.141, 0.859, 0.274], [0.281, 0.141, 0.726], [0.500, 0.000, 0.000], [0.500, 0.500, 0.000], [0.719, 0.859, 0.274], [0.859, 0.141, 0.726], [0.859, 0.719, 0.726]],
  "sg": "P-3m1, No. 164"
}

=====

(2)
{
  "formula": "Tb2ZnAs3Rh4",
  "functional": "GGA-PBE",
  "state": "relaxed",
  "cell": [[4.134, 0.000, 0.000], [0.000, 4.134, 0.000], [0.000, 0.000, 10.394]],
  "species": ["Tb", "Tb", "Zn", "As", "As", "As", "Rh", "Rh", "Rh", "Rh"],
  "frac_coords": [[0.000, 0.500, 0.248], [0.500, 0.000, 0.752], [0.500, 0.500, 0.000], [0.000, 0.000, 0.000], [0.000, 0.500, 0.637], [0.500, 0.000, 0.363], [0.000, 0.000, 0.500], [0.000, 0.500, 0.864], [0.500, 0.000, 0.136], [0.500, 0.500, 0.500]],
  "sg": "P-4m2, No. 115"
}

=====

(3)
{
  "formula": "TbZrAs2Rh5",
  "functional": "GGA-PBE",
  "state": "relaxed",
  "cell": [[4.180, 0.000, 0.000], [0.000, 4.180, 0.000], [0.000, 0.000, 8.766]],
  "species": ["Tb", "Zr", "As", "As", "Rh", "Rh", "Rh", "Rh", "Rh"],
  "frac_coords": [[0.000, 0.000, 0.000], [0.000, 0.000, 0.500], [0.500, 0.500, 0.362], [0.500, 0.500, 0.638], [0.000, 0.500, 0.237], [0.000, 0.500, 0.763], [0.500, 0.000, 0.237], [0.500, 0.000, 0.763], [0.500, 0.500, 0.000]],
  "sg": "P4/mmm, No. 123"
}

=====

no.,size of the total moment (μB/cell),formation enthalpy at 0 K (eV per formula unit)
1,0.00,-5.43
2,0.00,-8.64
3,0.00,-5.62